Record 1
# SrLi4 | Alexandria | GGA-PBE | optimized geometry
data_SrLi4
_chemical_formula_sum 'Sr1 Li4'
_cell_length_a 4.870
_cell_length_b 4.870
_cell_length_c 6.836
_cell_angle_alpha 110.87
_cell_angle_beta 110.87
_cell_angle_gamma 90.00
_symmetry_space_group_name_H-M 'P 1'
_symmetry_Int_Tables_number 1
_symmetry_space_group_name_Hall 'P 1'
loop_
_atom_site_label
_atom_site_type_symbol
_atom_site_fract_x
_atom_site_fract_y
_atom_site_fract_z
Li1 Li 0.250 0.750 0.500
Li2 Li 0.750 0.250 0.500
Li3 Li 0.379 0.379 0.758
Li4 Li 0.621 0.621 0.242
Sr1 Sr 0.000 0.000 0.000
# Energy of formation from the pure elements   0.3 eV/f.u.
# Crystal system   tetragonal
# Symmetry   No. 139

***

Record 2
# CuRePO2 | Alexandria | GGA-PBE | optimized geometry
data_CuRePO2
_chemical_formula_sum 'Cu1 Re1 P1 O2'
_cell_length_a 3.621
_cell_length_b 3.621
_cell_length_c 4.900
_cell_angle_alpha 90.00
_cell_angle_beta 90.00
_cell_angle_gamma 90.00
_symmetry_space_group_name_H-M 'P 1'
_symmetry_Int_Tables_number 1
_symmetry_space_group_name_Hall 'P 1'
loop_
_atom_site_label
_atom_site_type_symbol
_atom_site_fract_x
_atom_site_fract_y
_atom_site_fract_z
Cu1 Cu 0.000 0.000 0.000
P1 P 0.000 0.000 0.500
O1 O 0.500 0.000 0.000
O2 O 0.000 0.500 0.000
Re1 Re 0.500 0.500 0.500
# Formation energy from raw total energies   0.71 eV per atom
# Crystal system   tetragonal
# Symmetry   No. 123